No. 1
PBE ZnIn2Te, relaxed; formation energy without anion corrections = -55.7 meV/atom; offset from the most stable computed form = 0.007 eV/atom; density of states at the Fermi level = 1.3 states/eV/cell; electronic total energy = -10.12 eV per formula unit
1.0
3.737 -2.149 0.000
3.737 2.149 0.000
-2.431 0.000 6.865
Zn In Te
1 2 1
Direct
0.000 0.000 0.000
0.258 0.258 0.778
0.742 0.742 0.222
0.500 0.500 0.500

---

No. 2
PBE ZnInTe, relaxed; formation energy without anion corrections = 54.3 meV/atom; offset from the most stable computed form = 0.189 eV/atom; density of states at the Fermi level = 1.8 states/eV/cell; electronic total energy = -6.99 eV per formula unit
1.0
0.000 3.122 6.147
2.094 0.000 6.147
2.094 3.122 0.000
Zn In Te
1 1 1
Direct
0.000 0.000 0.000
0.661 0.661 0.339
0.360 0.360 0.640

---

No. 3
PBE ZnIn2Te, relaxed; formation energy without anion corrections = 60.2 meV/atom; offset from the most stable computed form = 0.123 eV/atom; density of states at the Fermi level = 1.0 states/eV/cell; electronic total energy = -9.65 eV per formula unit
1.0
-2.527 2.527 4.362
2.527 -2.527 4.362
2.527 2.527 -4.362
Zn In Te
1 2 1
Direct
0.000 0.000 0.000
0.250 0.750 0.500
0.750 0.250 0.500
0.500 0.500 0.000

---

No. 4
PBE ZnInTe4, relaxed; formation energy without anion corrections = 263.5 meV/atom; density of states at the Fermi level = 5.0 states/eV/cell; electronic total energy = -15.00 eV per formula unit
1.0
0.000 4.574 4.574
4.574 0.000 4.574
4.574 4.574 0.000
Zn In Te
1 1 4
Direct
0.000 0.000 0.000
0.750 0.750 0.750
0.374 0.374 0.374
0.374 0.374 0.878
0.374 0.878 0.374
0.878 0.374 0.374

---

No. 5
PBE ZnInTe3, relaxed; formation energy without anion corrections = 186.3 meV/atom; offset from the most stable computed form = 0.426 eV/atom; density of states at the Fermi level = 5.0 states/eV/cell; electronic total energy = -12.51 eV per formula unit
1.0
5.398 0.000 0.000
0.000 5.398 0.000
0.000 0.000 5.398
Zn In Te
1 1 3
Direct
0.000 0.000 0.000
0.500 0.500 0.500
0.000 0.000 0.500
0.000 0.500 0.000
0.500 0.000 0.000

---

No. 6
PBE ZnIn2Te, relaxed; formation energy without anion corrections = 11.6 meV/atom; offset from the most stable computed form = 0.074 eV/atom; density of states at the Fermi level = 1.5 states/eV/cell; electronic total energy = -9.85 eV per formula unit
1.0
-2.029 2.158 6.078
2.029 -2.158 6.078
2.029 2.158 -6.078
Zn In Te
1 2 1
Direct
0.000 0.000 0.000
0.203 0.703 0.500
0.797 0.297 0.500
0.500 0.500 0.000

---

No. 7
PBE ZnInTe, relaxed; formation energy without anion corrections = -134.6 meV/atom; offset from the most stable computed form = 0.000 eV/atom; density of states at the Fermi level = 1.0 states/eV/cell; electronic total energy = -7.56 eV per formula unit
1.0
4.175 0.000 0.000
-2.087 3.615 0.000
0.000 0.000 5.316
Zn In Te
1 1 1
Direct
0.000 0.000 0.000
0.667 0.333 0.329
0.333 0.667 0.742

---

No. 8
PBE Zr2InTe, relaxed; formation energy without anion corrections = -196.8 meV/atom; offset from the most stable computed form = 0.242 eV/atom; density of states at the Fermi level = 2.5 states/eV/cell; electronic total energy = -23.76 eV per formula unit
1.0
1.744 1.007 9.707
-1.744 1.007 9.707
0.000 -2.014 9.707
Zr In Te
2 1 1
Direct
0.000 0.000 0.000
0.251 0.251 0.251
0.750 0.750 0.750
0.512 0.512 0.512

---

No. 9
PBE ZrIn2Te, relaxed; formation energy without anion corrections = 26.4 meV/atom; density of states at the Fermi level = 3.2 states/eV/cell; electronic total energy = -17.06 eV per formula unit
1.0
2.153 -2.429 0.000
2.153 2.429 0.000
0.000 0.000 9.657
Zr In Te
1 2 1
Direct
0.000 0.000 0.000
0.500 0.500 0.224
0.500 0.500 0.776
0.000 0.000 0.500

---

No. 10
PBE Zr2InTe, relaxed; formation energy without anion corrections = -438.4 meV/atom; offset from the most stable computed form = 0.000 eV/atom; density of states at the Fermi level = 2.8 states/eV/cell; electronic total energy = -24.73 eV per formula unit
1.0
3.434 0.000 0.000
0.000 3.434 0.000
0.000 0.000 7.733
Zr In Te
2 1 1
Direct
0.000 0.000 0.231
0.000 0.000 0.769
0.500 0.500 0.500
0.500 0.500 0.000

---

No. 11
PBE ZrIn2Te, relaxed; formation energy without anion corrections = -74.8 meV/atom; density of states at the Fermi level = 3.7 states/eV/cell; electronic total energy = -17.47 eV per formula unit
1.0
4.163 0.000 0.000
0.000 4.163 0.000
0.000 0.000 5.945
Zr In Te
1 2 1
Direct
0.000 0.000 0.000
0.000 0.500 0.500
0.500 0.000 0.500
0.500 0.500 0.000

---

No. 12
PBE ZrIn2Te, relaxed; formation energy without anion corrections = -71.6 meV/atom; density of states at the Fermi level = 3.0 states/eV/cell; electronic total energy = -17.45 eV per formula unit
1.0
3.163 -4.678 0.000
3.163 4.678 0.000
0.000 0.000 3.334
Zr In Te
1 2 1
Direct
0.000 0.000 0.000
0.000 0.500 0.500
0.500 0.000 0.500
0.500 0.500 0.000

---

No. 13
PBE ZrIn2Te, relaxed; formation energy without anion corrections = -126.7 meV/atom; density of states at the Fermi level = 2.9 states/eV/cell; electronic total energy = -17.67 eV per formula unit
1.0
3.049 -5.577 0.000
3.049 5.577 0.000
-2.137 0.000 2.991
Zr In Te
1 2 1
Direct
0.000 0.000 0.000
0.000 0.500 0.500
0.500 0.000 0.500
0.500 0.500 0.000

---

No. 14
PBE ZrIn2Te, relaxed; formation energy without anion corrections = -175.9 meV/atom; density of states at the Fermi level = 2.6 states/eV/cell; electronic total energy = -17.87 eV per formula unit
1.0
-1.807 2.674 5.307
1.807 -2.674 5.307
1.807 2.674 -5.307
Zr In Te
1 2 1
Direct
0.000 0.000 0.000
0.248 0.748 0.500
0.516 0.516 0.000
0.789 0.289 0.500

---

No. 15
PBE ZrIn2Te, relaxed; formation energy without anion corrections = 23.6 meV/atom; density of states at the Fermi level = 2.0 states/eV/cell; electronic total energy = -17.07 eV per formula unit
1.0
1.720 0.993 9.968
-1.720 0.993 9.968
0.000 -1.986 9.968
Zr In Te
1 2 1
Direct
0.000 0.000 0.000
0.254 0.254 0.254
0.746 0.746 0.746
0.500 0.500 0.500

---

No. 16
PBE ZrIn2Te, relaxed; formation energy without anion corrections = -68.6 meV/atom; density of states at the Fermi level = 2.9 states/eV/cell; electronic total energy = -17.44 eV per formula unit
1.0
5.118 0.000 0.000
0.000 5.118 0.000
0.000 0.000 3.815
Zr In Te
1 2 1
Direct
0.000 0.000 0.000
0.000 0.500 0.500
0.500 0.000 0.500
0.500 0.500 0.000

---

No. 17
PBE Zr2InTe, relaxed; formation energy without anion corrections = -330.1 meV/atom; offset from the most stable computed form = 0.108 eV/atom; density of states at the Fermi level = 2.9 states/eV/cell; electronic total energy = -24.30 eV per formula unit
1.0
-2.114 2.631 4.145
2.114 -2.631 4.145
2.114 2.631 -4.145
Zr In Te
2 1 1
Direct
0.241 0.241 0.000
0.759 0.759 0.000
0.500 0.000 0.500
0.000 0.500 0.500

---

No. 18
PBE ZrInTe3, relaxed; formation energy without anion corrections = -494.4 meV/atom; offset from the most stable computed form = 0.055 eV/atom; density of states at the Fermi level = 6.3 states/eV/cell; electronic total energy = -23.18 eV per formula unit
1.0
5.566 0.000 0.000
0.000 7.398 0.000
-2.417 0.000 14.993
Zr In Te
4 4 12
Direct
0.114 0.123 0.245
0.114 0.377 0.745
0.886 0.623 0.255
0.886 0.877 0.755
0.393 0.144 0.061
0.393 0.356 0.561
0.607 0.644 0.439
0.607 0.856 0.939
0.020 0.662 0.608
0.020 0.838 0.108
0.138 0.644 0.896
0.138 0.856 0.396
0.390 0.023 0.743
0.390 0.477 0.243
0.610 0.523 0.757
0.610 0.977 0.257
0.862 0.144 0.604
0.862 0.356 0.104
0.980 0.162 0.892
0.980 0.338 0.392

---

No. 19
PBE Zr2InTe, relaxed; formation energy without anion corrections = -265.6 meV/atom; offset from the most stable computed form = 0.173 eV/atom; density of states at the Fermi level = 4.2 states/eV/cell; electronic total energy = -24.04 eV per formula unit
1.0
-2.148 2.148 4.967
2.148 -2.148 4.967
2.148 2.148 -4.967
Zr In Te
2 1 1
Direct
0.000 0.000 0.000
0.750 0.250 0.500
0.250 0.750 0.500
0.500 0.500 0.000

---

No. 20
PBE Zr2In2Te7, relaxed; formation energy without anion corrections = -447.7 meV/atom; density of states at the Fermi level = 2.7 states/eV/cell; electronic total energy = -49.49 eV per formula unit
1.0
3.812 -6.534 0.000
3.812 6.534 0.000
-2.741 0.000 7.975
Zr In Te
2 2 7
Direct
0.191 0.809 0.000
0.809 0.191 0.000
0.181 0.181 0.632
0.819 0.819 0.368
0.014 0.593 0.245
0.169 0.169 0.172
0.407 0.986 0.755
0.500 0.500 0.500
0.593 0.014 0.245
0.831 0.831 0.828
0.986 0.407 0.755

---

No. 21
PBE ZrInTe, relaxed; formation energy without anion corrections = -451.0 meV/atom; density of states at the Fermi level = 1.5 states/eV/cell; electronic total energy = -15.78 eV per formula unit
1.0
-1.851 1.851 5.331
1.851 -1.851 5.331
1.851 1.851 -5.331
Zr In Te
1 1 1
Direct
0.000 0.000 0.000
0.321 0.321 0.000
0.627 0.627 0.000

---

No. 22
PBE ZrIn2Te, relaxed; formation energy without anion corrections = -101.4 meV/atom; density of states at the Fermi level = 3.6 states/eV/cell; electronic total energy = -17.57 eV per formula unit
1.0
-2.238 2.238 4.919
2.238 -2.238 4.919
2.238 2.238 -4.919
Zr In Te
1 2 1
Direct
0.000 0.000 0.000
0.250 0.750 0.500
0.500 0.500 0.000
0.750 0.250 0.500

---

No. 23
PBE ZrIn2Te, relaxed; formation energy without anion corrections = -107.6 meV/atom; density of states at the Fermi level = 1.7 states/eV/cell; electronic total energy = -17.60 eV per formula unit
1.0
3.998 0.000 0.000
0.000 3.998 0.000
0.000 0.000 6.196
Zr In Te
1 2 1
Direct
0.000 0.000 0.000
0.500 0.500 0.236
0.500 0.500 0.764
0.000 0.000 0.500

---

No. 24
PBE Zr2InTe, relaxed; formation energy without anion corrections = -346.1 meV/atom; offset from the most stable computed form = 0.092 eV/atom; density of states at the Fermi level = 2.7 states/eV/cell; electronic total energy = -24.36 eV per formula unit
1.0
3.507 0.000 0.000
0.000 3.930 0.000
-0.715 0.000 6.638
Zr In Te
2 1 1
Direct
0.002 0.000 0.250
0.998 0.000 0.750
0.500 0.500 0.500
0.500 0.500 0.000

---

No. 25
PBE ZrInTe3, relaxed; formation energy without anion corrections = -339.3 meV/atom; offset from the most stable computed form = 0.210 eV/atom; density of states at the Fermi level = 2.1 states/eV/cell; electronic total energy = -22.41 eV per formula unit
1.0
5.654 0.000 0.000
0.000 5.654 0.000
0.000 0.000 5.654
Zr In Te
1 1 3
Direct
0.000 0.000 0.000
0.500 0.500 0.500
0.000 0.000 0.500
0.000 0.500 0.000
0.500 0.000 0.000

---

No. 26
PBE Zr2InTe, relaxed; formation energy without anion corrections = -264.9 meV/atom; offset from the most stable computed form = 0.174 eV/atom; density of states at the Fermi level = 3.7 states/eV/cell; electronic total energy = -24.04 eV per formula unit
1.0
4.911 -1.795 0.000
4.911 1.795 0.000
-1.159 0.000 5.339
Zr In Te
2 1 1
Direct
0.247 0.247 0.243
0.753 0.753 0.757
0.000 0.000 0.500
0.500 0.500 0.000

---

No. 27
PBE ZrIn2Te3, relaxed; formation energy without anion corrections = -521.8 meV/atom; density of states at the Fermi level = 1.1 states/eV/cell; electronic total energy = -26.58 eV per formula unit
1.0
3.798 -6.539 0.000
3.798 6.539 0.000
-2.466 0.000 7.776
Zr In Te
2 4 6
Direct
0.170 0.830 0.000
0.830 0.170 0.000
0.000 0.000 0.500
0.344 0.656 0.500
0.500 0.500 0.000
0.656 0.344 0.500
0.063 0.425 0.777
0.208 0.208 0.209
0.425 0.063 0.777
0.575 0.937 0.223
0.792 0.792 0.791
0.937 0.575 0.223

---

No. 28
PBE Zr2InTe, relaxed; formation energy without anion corrections = -318.1 meV/atom; offset from the most stable computed form = 0.120 eV/atom; density of states at the Fermi level = 3.0 states/eV/cell; electronic total energy = -24.25 eV per formula unit
1.0
-1.753 2.395 5.837
1.753 -2.395 5.837
1.753 2.395 -5.837
Zr In Te
2 1 1
Direct
0.000 0.000 0.000
0.770 0.270 0.500
0.311 0.811 0.500
0.568 0.568 0.000